VASP calculation (PBE) on TlInPbW2 after structural relaxation.

Lattice parameters (Å, degrees): 5.2171 5.2171 5.4595 90.00 90.00 90.00
Sites, in units of the cell vectors:
1 Tl 0.0000 0.0000 0.0000
2 In 0.0000 0.0000 0.5000
3 Pb 0.5000 0.5000 0.0000
4 W 0.0000 0.5000 0.5000
5 W 0.5000 0.0000 0.5000

Formation enthalpy at 0 K: 2.19 eV/atom
Raw total energy: -4.76 eV per atom

=====

VASP calculation (PBE) on YTlInPb after structural relaxation.

Lattice parameters (Å, degrees): 5.4484 5.4484 5.4484 60.00 60.00 60.00
Sites, in units of the cell vectors:
1 Y 0.0000 0.0000 0.0000
2 Tl 0.2500 0.2500 0.2500
3 In 0.5000 0.5000 0.5000
4 Pb 0.7500 0.7500 0.7500

Formation enthalpy at 0 K: -0.10 eV/atom
Raw total energy: -3.92 eV per atom

=====

VASP calculation (PBE) on YTlInPb after structural relaxation.

Lattice parameters (Å, degrees): 4.5843 4.7589 4.9789 90.00 90.00 90.00
Sites, in units of the cell vectors:
1 Y 0.0000 0.0000 0.0000
2 Tl 0.5000 0.0000 0.5000
3 In 0.0000 0.5000 0.5000
4 Pb 0.5000 0.5000 0.0000

Formation enthalpy at 0 K: -0.31 eV/atom
Raw total energy: -4.13 eV per atom

=====

VASP calculation (PBE) on Tm3In2Pb after structural relaxation.

Lattice parameters (Å, degrees): 7.7945 7.7945 4.3359 90.00 90.00 143.30
Sites, in units of the cell vectors:
1 Tm 0.0000 0.0000 0.0000
2 Tm 0.3323 0.6677 0.0000
3 Tm 0.6677 0.3323 0.0000
4 In 0.1706 0.8294 0.5000
5 In 0.8294 0.1706 0.5000
6 Pb 0.5000 0.5000 0.5000

Formation enthalpy at 0 K: -0.40 eV/atom
Raw total energy: -4.17 eV per atom

=====

VASP calculation (PBE) on Tm2InPb3 after structural relaxation.

Lattice parameters (Å, degrees): 8.8153 8.8153 5.1107 90.00 90.00 70.60
Sites, in units of the cell vectors:
1 Tm 0.0034 0.2418 0.2500
2 Tm 0.2418 0.0034 0.7500
3 Tm 0.7582 0.9966 0.2500
4 Tm 0.9966 0.7582 0.7500
5 In 0.1682 0.8318 0.2500
6 In 0.8318 0.1682 0.7500
7 Pb 0.1401 0.3862 0.7500
8 Pb 0.3862 0.1401 0.2500
9 Pb 0.3925 0.6075 0.7500
10 Pb 0.6075 0.3925 0.2500
11 Pb 0.6138 0.8599 0.7500
12 Pb 0.8599 0.6138 0.2500

Formation enthalpy at 0 K: -0.16 eV/atom
Raw total energy: -3.96 eV per atom

=====

VASP calculation (PBE) on Tm12In2Pb5 after structural relaxation.

Lattice parameters (Å, degrees): 8.8782 8.8782 9.1493 93.15 93.15 52.94
Sites, in units of the cell vectors:
1 Tm 0.0239 0.0239 0.1860
2 Tm 0.0928 0.6228 0.0459
3 Tm 0.1176 0.5519 0.6268
4 Tm 0.3772 0.9072 0.9541
5 Tm 0.4481 0.8824 0.3732
6 Tm 0.4586 0.4586 0.3279
7 Tm 0.5414 0.5414 0.6721
8 Tm 0.5519 0.1176 0.6268
9 Tm 0.6228 0.0928 0.0459
10 Tm 0.8824 0.4481 0.3732
11 Tm 0.9072 0.3772 0.9541
12 Tm 0.9761 0.9761 0.8140
13 In 0.1765 0.8235 0.5000
14 In 0.8235 0.1765 0.5000
15 Pb 0.1700 0.1700 0.6734
16 Pb 0.2415 0.2415 0.1938
17 Pb 0.5000 0.5000 0.0000
18 Pb 0.7585 0.7585 0.8062
19 Pb 0.8300 0.8300 0.3266

Formation enthalpy at 0 K: -0.14 eV/atom
Raw total energy: -4.23 eV per atom